NiC4O6: optimized geometry, PBE with a Hubbard U.

The structure in CIF format:
```
data_NiC4O6
_chemical_formula_sum 'Ni4 C16 O24'
_cell_length_a 14.085
_cell_length_b 6.607
_cell_length_c 7.367
_cell_angle_alpha 90.00
_cell_angle_beta 116.21
_cell_angle_gamma 90.00
_space_group_name_H-M_alt 'C 1 2/c 1'
_space_group_IT_number 15
_space_group_name_Hall '-C 2yc'
loop_
_atom_site_label
_atom_site_type_symbol
_atom_site_fract_x
_atom_site_fract_y
_atom_site_fract_z
Ni1 Ni 0.250 0.250 0.000
C1 C 0.040 0.138 0.238
C2 C 0.135 0.133 0.212
O1 O 0.130 0.231 0.057
O2 O 0.164 0.373 0.773
O3 O 0.216 0.039 0.339
```

Calculated values
**Magnetic moment**: 16.00 μB per cell
**Calculated volume**: 14.0 Å³/atom
**Final energy**: -0.234 hartree per atom